Density functional theory data (PBE+U) for a geometry-optimized CrNiF3 structure.

abc: 4.0390 4.0390 4.0390
angles: 90.00 90.00 90.00
Last column: magnetic moment on the atom in μB.
Element x y z (fractional)
Ni (0.5000, 0.5000, 0.5000)  -0.75
F (0.0000, 0.5000, 0.0000)  -0.01
F (0.0000, 0.0000, 0.5000)  -0.01
F (0.5000, 0.0000, 0.0000)  -0.01
Cr (0.0000, 0.0000, 0.0000)  3.54

Results
The value obtained for the density of states at the Fermi level is 18.70 states/eV/f.u. The value obtained for the final energy is -0.322 Ry per atom. The calculation puts the magnetization at 2.92 μB/f.u. As for the relative energy among the computed polymorphs: 480 meV per atom.